[1]
! GGA-PBE MgSc4Cu2Pd, relaxed; values from VASP
&SYSTEM
  ibrav = 0, nat = 8, ntyp = 4
/
ATOMIC_SPECIES
Mg 24.30 Mg.upf
Sc 44.96 Sc.upf
Cu 63.55 Cu.upf
Pd 106.42 Pd.upf
ATOMIC_POSITIONS crystal
Mg 0.000 0.000 0.000
Sc 0.382 0.382 0.854
Sc 0.870 0.870 0.389
Sc 0.130 0.130 0.611
Sc 0.618 0.618 0.146
Cu 0.740 0.740 0.781
Cu 0.260 0.260 0.219
Pd 0.500 0.500 0.500
CELL_PARAMETERS angstrom
-0.272 -4.527 1.325
-0.326 -3.401 -3.264
7.577 -3.175 -0.868
! Density of states at the Fermi level = 5.882 states/eV per cell
! SG = No. 166
! Formation energy from the elements = -0.350 eV/atom
! Total magnetic moment = 0.00 μB/atom

=====

[2]
! GGA-PBE Mg2Sc5CuPd2, relaxed; values from VASP
&SYSTEM
  ibrav = 0, nat = 20, ntyp = 4
/
ATOMIC_SPECIES
Mg 24.30 Mg.upf
Sc 44.96 Sc.upf
Cu 63.55 Cu.upf
Pd 106.42 Pd.upf
ATOMIC_POSITIONS crystal
Mg 0.000 0.675 0.175
Mg 0.000 0.325 0.825
Mg 0.000 0.175 0.325
Mg 0.000 0.825 0.675
Sc 0.500 0.192 0.066
Sc 0.500 0.808 0.934
Sc 0.500 0.066 0.808
Sc 0.500 0.692 0.434
Sc 0.500 0.934 0.192
Sc 0.500 0.308 0.566
Sc 0.500 0.566 0.692
Sc 0.500 0.434 0.308
Sc 0.500 0.500 0.000
Sc 0.500 0.000 0.500
Cu 0.000 0.000 0.000
Cu 0.000 0.500 0.500
Pd 0.000 0.134 0.634
Pd 0.000 0.866 0.366
Pd 0.000 0.634 0.866
Pd 0.000 0.366 0.134
CELL_PARAMETERS angstrom
3.375 0.000 0.000
0.000 11.179 0.000
0.000 0.000 11.179
! Density of states at the Fermi level = 16.276 states/eV per cell
! SG = No. 127
! Formation energy from the elements = -0.412 eV/atom
! Total magnetic moment = 0.00 μB/atom

=====

[3]
! GGA-PBE MgCuSiPd, relaxed; values from VASP
&SYSTEM
  ibrav = 0, nat = 4, ntyp = 4
/
ATOMIC_SPECIES
Mg 24.30 Mg.upf
Si 28.09 Si.upf
Cu 63.55 Cu.upf
Pd 106.42 Pd.upf
ATOMIC_POSITIONS crystal
Mg 0.250 0.250 0.250
Si 0.750 0.750 0.750
Cu 0.000 0.000 0.000
Pd 0.500 0.500 0.500
CELL_PARAMETERS angstrom
4.320 0.000 0.000
2.160 3.741 0.000
2.160 1.247 3.527
! Density of states at the Fermi level = 1.641 states/eV per cell
! E_form (uncorrected) = -1.41 eV/f.u.
! SG = No. 216
! Total magnetic moment = 0.00 μB/atom

=====

[4]
! GGA-PBE Mg2Cu5Si2Pd, relaxed; values from VASP
&SYSTEM
  ibrav = 0, nat = 20, ntyp = 4
/
ATOMIC_SPECIES
Mg 24.30 Mg.upf
Cu 63.55 Cu.upf
Si 28.09 Si.upf
Pd 106.42 Pd.upf
ATOMIC_POSITIONS crystal
Mg 0.000 0.676 0.176
Mg 0.000 0.324 0.824
Mg 0.000 0.176 0.324
Mg 0.000 0.824 0.676
Cu 0.500 0.207 0.061
Cu 0.500 0.793 0.939
Cu 0.500 0.061 0.793
Cu 0.500 0.707 0.439
Cu 0.500 0.939 0.207
Cu 0.500 0.293 0.561
Cu 0.500 0.561 0.707
Cu 0.500 0.439 0.293
Cu 0.500 0.500 0.000
Cu 0.500 0.000 0.500
Si 0.000 0.123 0.623
Si 0.000 0.877 0.377
Si 0.000 0.623 0.877
Si 0.000 0.377 0.123
Pd 0.000 0.000 0.000
Pd 0.000 0.500 0.500
CELL_PARAMETERS angstrom
-0.277 -3.585 0.197
3.589 -0.727 -8.176
8.179 -0.432 3.629
! Density of states at the Fermi level = 7.215 states/eV per cell
! E_form (uncorrected) = -1.08 eV/f.u.
! SG = No. 127
! Total magnetic moment = 0.00 μB/atom

=====

[5]
! GGA-PBE Sr2MgCu2Pd5, relaxed; values from VASP
&SYSTEM
  ibrav = 0, nat = 20, ntyp = 4
/
ATOMIC_SPECIES
Sr 87.62 Sr.upf
Mg 24.30 Mg.upf
Cu 63.55 Cu.upf
Pd 106.42 Pd.upf
ATOMIC_POSITIONS crystal
Sr 0.000 0.677 0.177
Sr 0.000 0.323 0.823
Sr 0.000 0.177 0.323
Sr 0.000 0.823 0.677
Mg 0.000 0.000 0.000
Mg 0.000 0.500 0.500
Cu 0.000 0.120 0.620
Cu 0.000 0.880 0.380
Cu 0.000 0.620 0.880
Cu 0.000 0.380 0.120
Pd 0.500 0.206 0.062
Pd 0.500 0.794 0.938
Pd 0.500 0.062 0.794
Pd 0.500 0.706 0.438
Pd 0.500 0.938 0.206
Pd 0.500 0.294 0.562
Pd 0.500 0.562 0.706
Pd 0.500 0.438 0.294
Pd 0.500 0.500 0.000
Pd 0.500 0.000 0.500
CELL_PARAMETERS angstrom
-1.424 -2.661 -2.432
8.882 -4.200 -0.605
-2.220 -5.796 7.641
! Density of states at the Fermi level = 3.185 states/eV per cell
! SG = No. 127
! Formation energy from the elements = -0.464 eV/atom
! Total magnetic moment = 0.00 μB/atom

=====

[6]
! GGA-PBE TbMgCuPd, relaxed; values from VASP
&SYSTEM
  ibrav = 0, nat = 4, ntyp = 4
/
ATOMIC_SPECIES
Mg 24.30 Mg.upf
Tb 158.93 Tb.upf
Cu 63.55 Cu.upf
Pd 106.42 Pd.upf
ATOMIC_POSITIONS crystal
Mg 0.500 0.500 0.500
Tb 0.000 0.000 0.000
Cu 0.250 0.250 0.250
Pd 0.750 0.750 0.750
CELL_PARAMETERS angstrom
4.765 0.000 0.000
2.383 4.127 0.000
2.383 1.376 3.891
! Density of states at the Fermi level = 2.354 states/eV per cell
! SG = No. 216
! Formation energy from the elements = -0.491 eV/atom
! Total magnetic moment = 0.00 μB/atom

=====

[7]
! GGA-PBE ThMg2CuPd2, relaxed; values from VASP
&SYSTEM
  ibrav = 0, nat = 6, ntyp = 4
/
ATOMIC_SPECIES
Th 232.04 Th.upf
Mg 24.30 Mg.upf
Cu 63.55 Cu.upf
Pd 106.42 Pd.upf
ATOMIC_POSITIONS crystal
Th 0.500 0.500 0.000
Mg 0.250 0.750 0.500
Mg 0.750 0.250 0.500
Cu 0.000 0.000 0.000
Pd 0.761 0.761 0.522
Pd 0.239 0.239 0.478
CELL_PARAMETERS angstrom
-3.128 0.630 -4.025
-4.031 0.253 3.172
4.172 4.695 0.770
! Density of states at the Fermi level = 4.478 states/eV per cell
! SG = No. 139
! Formation energy from the elements = -0.103 eV/atom
! Total magnetic moment = 0.00 μB/atom

=====

[8]
! GGA-PBE ThMg2Cu2Pd, relaxed; values from VASP
&SYSTEM
  ibrav = 0, nat = 6, ntyp = 4
/
ATOMIC_SPECIES
Th 232.04 Th.upf
Mg 24.30 Mg.upf
Cu 63.55 Cu.upf
Pd 106.42 Pd.upf
ATOMIC_POSITIONS crystal
Th 0.500 0.500 0.000
Mg 0.250 0.750 0.500
Mg 0.750 0.250 0.500
Cu 0.768 0.768 0.535
Cu 0.232 0.232 0.465
Pd 0.000 0.000 0.000
CELL_PARAMETERS angstrom
-4.736 1.049 -0.683
0.641 -0.263 -4.849
0.886 -5.555 2.893
! Density of states at the Fermi level = 3.296 states/eV per cell
! SG = No. 139
! Formation energy from the elements = 0.124 eV/atom
! Total magnetic moment = 0.00 μB/atom